Record 1
First-principles (PBE-GGA) data for a relaxed Tb2NdY2Er2 crystal, as listed in the Alexandria database.

```
7
Lattice="-2.3194 -1.5438 2.0906 5.1588 -6.8070 -2.2051 6.4948 -2.4544 5.3930" Properties=species:S:1:pos:R:3 pbc="T T T"
Tb 0.4295 -3.2428 0.9838
Tb 8.9047 -7.5623 4.2948
Nd 3.2474 -1.2272 2.6965
Y 4.8990 -7.0872 0.2017
Y 4.4352 -3.7180 5.0769
Er 2.9449 -5.0891 2.4111
Er 6.3893 -5.7161 2.8675
```

Computed properties:
Size of the total moment in μB per formula unit: 0.00
Space group: No. 12
Formation energy from the elements in meV per atom: 114

***

Record 2
First-principles (PBE-GGA) data for a relaxed Pr12Ru3C5 crystal, as listed in the Alexandria database.

```
80
Lattice="-4.9821 -0.7313 -12.9697 -8.0015 -7.5954 8.4768 -0.0259 13.2518 4.2377" Properties=species:S:1:pos:R:3 pbc="T T T"
Ru -6.7404 -1.7402 -6.0188
Ru -10.3637 -4.6799 -4.4612
Ru -7.8856 2.3116 4.1425
Ru -2.2554 3.8372 -0.5937
Ru -5.3660 1.7237 -9.2295
Ru -6.8757 -1.7084 1.4938
Ru -6.1338 6.6336 -1.7490
Ru -7.6435 3.2015 8.9742
Ru -10.7541 1.0880 0.3384
Ru -5.1239 2.6136 -4.3978
Ru -2.6458 9.6051 4.2060
Ru -6.2692 6.6654 5.7635
C -3.6298 0.3733 2.6170
C -4.0008 -3.7977 4.2384
C 0.0000 0.0000 0.0000
C -3.8719 -0.5166 -2.2147
C -2.5040 6.2603 -4.3660
C -6.4918 -4.1633 -2.2465
C -6.6336 -0.8185 6.3255
C -4.7594 10.0975 -4.9597
C -8.7472 -0.3261 -2.8402
C -2.8879 8.7152 -0.6258
C -10.1216 -3.7900 0.3705
C -6.5048 2.4626 -0.1276
C -2.4910 -0.3656 -6.4849
C -0.0130 6.6259 2.1188
C -4.2623 5.2513 2.5849
C -8.2501 -5.1723 4.7045
C -4.0137 2.8282 6.3572
C -6.3759 5.7437 -6.5808
C -9.1376 5.4418 1.9595
C -9.3797 4.5519 -2.8723
Pr -4.5605 -1.0862 -7.9742
Pr -5.8614 1.0643 2.0290
Pr -7.8089 0.3275 -8.1874
Pr -4.3190 -0.2719 -4.5692
Pr -8.5811 3.1772 1.3550
Pr -9.6157 -2.8887 -6.7493
Pr -7.9450 -0.6837 4.3092
Pr -7.8484 -5.3536 7.0728
Pr -10.7505 1.1871 3.3373
Pr -8.1802 -2.5668 -3.5194
Pr -7.7055 0.7809 -4.7091
Pr -11.3155 -7.0464 -2.8810
Pr -6.3259 1.5559 6.5918
Pr -5.0721 -2.2622 -1.0676
Pr -7.6299 -1.9889 8.1805
Pr -3.1341 6.6378 -1.8204
Pr -1.8307 1.3565 1.3521
Pr -7.7658 -4.1987 0.0764
Pr -11.4608 -3.7278 -1.6310
Pr -4.0002 -1.9865 2.3046
Pr -9.6266 2.8508 6.7499
Pr -8.0175 0.3501 -0.6462
Pr -11.0858 0.1313 -2.4861
Pr -6.5412 9.1630 -3.6349
Pr -4.9921 4.5751 0.3909
Pr -1.9237 4.7939 2.2308
Pr -6.4683 -4.2378 3.3796
Pr -1.5487 8.6530 1.3757
Pr -3.3829 2.0744 -7.0052
Pr -9.0093 6.9117 -2.5599
Pr -5.2437 9.1239 -0.3316
Pr -9.8754 -1.7126 1.5651
Pr -11.1788 3.5687 -1.6073
Pr -5.3796 6.9141 -8.4358
Pr -6.6836 3.3693 -6.8471
Pr -1.6940 11.9716 2.6258
Pr -7.9374 7.1873 0.8123
Pr -2.2590 3.7380 -3.5926
Pr -4.8294 7.4920 3.2641
Pr -5.3040 4.1443 4.4538
Pr -5.1611 10.2788 -7.3281
Pr -5.0645 5.6089 -4.5645
Pr -8.6905 5.1971 4.3140
Pr -3.3938 7.8138 6.4940
Pr -4.4284 1.7480 -1.6102
Pr -5.2006 4.5977 7.9321
Pr -7.1481 3.8609 -2.2842
Pr -8.4490 6.0114 7.7189
```

Computed properties:
Size of the total moment in μB per formula unit: 0.00
Space group: No. 230
Formation energy from the elements in meV per atom: 71

***

Record 3
First-principles (PBE-GGA) data for a relaxed Ca3Tl8Cd2 crystal, as listed in the Alexandria database.

```
13
Lattice="6.3799 0.0000 0.0000 3.1900 5.5252 0.0000 3.1900 1.8417 11.4947" Properties=species:S:1:pos:R:3 pbc="T T T"
Ca 0.0000 0.0000 0.0000
Ca 9.5699 5.5252 6.5162
Ca 3.1900 1.8417 4.9785
Tl 9.5699 5.5252 9.7138
Tl 3.1900 1.8417 1.7810
Tl 4.7836 4.6051 3.6942
Tl 6.3799 1.8402 3.6942
Tl 7.9762 4.6051 3.6942
Tl 6.3799 5.5267 7.8005
Tl 7.9762 2.7618 7.8005
Tl 4.7836 2.7618 7.8005
Cd 6.3799 3.6834 1.1328
Cd 6.3799 3.6835 10.3619
```

Computed properties:
Size of the total moment in μB per formula unit: 0.00
Space group: No. 166
Formation energy from the elements in meV per atom: -81

***

Record 4
First-principles (PBE-GGA) data for a relaxed Ni6Pt4W crystal, as listed in the Alexandria database.

```
11
Lattice="-1.2970 -1.3501 1.8692 -2.5845 -5.3076 -5.6271 7.0269 -1.3168 3.9249" Properties=species:S:1:pos:R:3 pbc="T T T"
Ni -1.1808 -2.7310 -2.7920
Ni 3.4693 -5.2150 0.5128
Ni 2.1278 -3.3510 -0.9440
Ni 0.9109 -5.8501 -3.5935
Ni 4.6993 -2.6890 3.1907
Ni 1.3551 -2.0624 1.3229
Pt 1.7419 -5.8787 -1.1653
Pt -0.3161 -2.8098 -0.3767
Pt -1.5135 -5.2687 -2.9836
Pt 3.8231 -2.6471 0.7409
W 0.0000 0.0000 0.0000
```

Computed properties:
Size of the total moment in μB per formula unit: 3.44
Space group: No. 187
Formation energy from the elements in meV per atom: 55

***

Record 5
First-principles (PBE-GGA) data for a relaxed Ba2SrMgAs crystal, as listed in the Alexandria database.

```
5
Lattice="6.4222 0.0000 0.0000 0.0000 6.4222 0.0000 0.0000 0.0000 6.0021" Properties=species:S:1:pos:R:3 pbc="T T T"
Mg 3.2111 3.2111 3.0010
Sr 0.0000 0.0000 3.0010
As 0.0000 0.0000 0.0000
Ba 0.0000 3.2111 0.0000
Ba 3.2111 0.0000 0.0000
```

Computed properties:
Size of the total moment in μB per formula unit: 0.95
Space group: No. 123
Formation energy from the elements in meV per atom: -419

***

Record 6
First-principles (PBE-GGA) data for a relaxed Li2CoW crystal, as listed in the Alexandria database.

```
4
Lattice="2.5788 0.0201 0.0000 -1.0270 2.3655 0.0000 0.0000 0.0000 9.2764" Properties=species:S:1:pos:R:3 pbc="T T T"
Co 0.7759 1.1928 6.9573
Li 0.0000 0.0000 9.1157
Li 0.0000 0.0000 4.7989
W 0.7759 1.1928 2.3191
```

Computed properties:
Size of the total moment in μB per formula unit: 1.49
Space group: No. 65
Polymorph energy (0 for the lowest one) in eV per formula unit: 0.41
Formation energy from the elements in meV per atom: 380

***

Record 7
First-principles (PBE-GGA) data for a relaxed Pm2Ga2Pt3 crystal, as listed in the Alexandria database.

```
7
Lattice="3.9639 0.0000 0.0000 -1.9819 5.3687 -0.1848 0.0000 -2.6951 6.6648" Properties=species:S:1:pos:R:3 pbc="T T T"
Pm 1.9819 3.3677 1.4478
Pm 0.0000 -0.6941 5.0323
Ga 1.9819 1.6237 5.0268
Ga 0.0000 1.0499 1.4532
Pt 1.9819 0.0000 0.0000
Pt 1.9819 0.0901 2.8733
Pt 0.0000 2.5834 3.6067
```

Computed properties:
Size of the total moment in μB per formula unit: 0.00
Space group: No. 12
Polymorph energy (0 for the lowest one) in eV per formula unit: 0.35
Formation energy from the elements in meV per atom: -971

***

Record 8
First-principles (PBE-GGA) data for a relaxed Ba5TbSe6 crystal, as listed in the Alexandria database.

```
12
Lattice="-4.3459 3.8124 5.4739 -6.8782 -3.8849 1.1374 -0.4878 -5.7129 5.5378" Properties=species:S:1:pos:R:3 pbc="T T T"
Ba -3.6682 -2.5196 6.5785
Ba -2.4609 -3.1921 2.2156
Ba -5.6120 -0.0362 3.3056
Ba -4.9050 -6.4057 4.4595
Ba -8.0437 -3.2658 5.5706
Tb 0.0000 0.0000 0.0000
Se -4.0172 0.8747 5.9890
Se -5.3964 -3.2602 3.6706
Se -2.5787 0.0160 1.5437
Se -8.6454 -0.0885 5.0676
Se -6.3155 -2.5252 8.4784
Se -7.6947 -6.6601 6.1600
```

Computed properties:
Size of the total moment in μB per formula unit: 0.00
Space group: No. 12
ΔE_f (raw) in kJ/mol of formula units: -2284.9

***

Record 9
First-principles (PBE-GGA) data for a relaxed Li2Ge3PdPt4 crystal, as listed in the Alexandria database.

```
10
Lattice="3.9300 0.0000 0.0000 0.0000 3.9300 0.0000 0.0000 0.0000 11.4982" Properties=species:S:1:pos:R:3 pbc="T T T"
Li 1.9650 0.0000 3.2383
Li 0.0000 1.9650 8.2600
Ge 0.0000 0.0000 5.7491
Ge 1.9650 0.0000 9.9131
Ge 0.0000 1.9650 1.5851
Pd 1.9650 1.9650 5.7491
Pt 1.9650 1.9650 0.0000
Pt 0.0000 0.0000 0.0000
Pt 1.9650 0.0000 7.5537
Pt 0.0000 1.9650 3.9445
```

Computed properties:
Size of the total moment in μB per formula unit: 0.00
Space group: No. 115
Formation energy from the elements in meV per atom: -456

***

Record 10
First-principles (PBE-GGA) data for a relaxed Cd2Pd2RhO6 crystal, as listed in the Alexandria database.

```
11
Lattice="5.4689 0.3812 -0.0073 -2.3717 4.9426 -0.0073 -1.1623 -1.9979 5.3574" Properties=species:S:1:pos:R:3 pbc="T T T"
Cd 3.9984 1.2367 -0.0073
Cd -0.9012 4.0871 -0.0073
Pd -0.2900 2.3945 2.6714
Pd 2.2249 0.9314 2.6714
Rh -0.5812 -0.9990 2.6787
O 1.5657 2.6912 3.6484
O -1.6347 0.2793 3.9087
O 0.3692 0.6346 1.6945
O 1.0508 -1.2830 3.9087
O 3.5696 3.0465 1.4342
O 0.8841 4.6089 1.4342
```

Computed properties:
Size of the total moment in μB per formula unit: 0.92
Space group: No. 12
ΔE_f (raw) in kJ/mol of formula units: -586.9

***

Record 11
First-principles (PBE-GGA) data for a relaxed YRePCl2 crystal, as listed in the Alexandria database.

```
5
Lattice="5.0642 0.0000 0.0000 0.0000 5.0642 0.0000 0.0000 0.0000 5.7297" Properties=species:S:1:pos:R:3 pbc="T T T"
Y 0.0000 0.0000 0.0000
Re 2.5321 2.5321 2.8649
P 0.0000 0.0000 2.8649
Cl 0.0000 2.5321 0.0000
Cl 2.5321 0.0000 0.0000
```

Computed properties:
Size of the total moment in μB per formula unit: 4.98
Space group: No. 123
Polymorph energy (0 for the lowest one) in eV per formula unit: 1.59
ΔE_f (raw) in kJ/mol of formula units: 145.8

***

Record 12
First-principles (PBE-GGA) data for a relaxed La2FeSnC crystal, as listed in the Alexandria database.

```
5
Lattice="-1.5887 -1.7503 -4.9615 -4.2447 -2.6358 2.2890 -2.1282 3.0765 -0.4039" Properties=species:S:1:pos:R:3 pbc="T T T"
Fe -1.0641 1.5382 -0.2019
C 0.0000 0.0000 0.0000
Sn -3.9808 -0.6548 -1.5382
La -2.1223 -1.3179 1.1445
La -0.7943 -0.8751 -2.4808
```

Computed properties:
Size of the total moment in μB per formula unit: 1.26
Space group: No. 123
Formation energy from the elements in meV per atom: -295

***

Record 13
First-principles (PBE-GGA) data for a relaxed H2PtF8 crystal, as listed in the Alexandria database.

```
11
Lattice="5.1668 -0.2822 -0.1971 0.4105 5.4746 0.3721 0.4105 2.2335 5.0121" Properties=species:S:1:pos:R:3 pbc="T T T"
H 2.6407 2.7794 1.9415
H 3.3470 4.6465 3.2457
Pt 0.0000 0.0000 0.0000
F 1.0853 2.0548 3.2441
F 1.0853 3.7531 0.8129
F 4.9024 5.3710 1.9431
F 2.4086 4.7512 3.3188
F 4.9024 3.6728 4.3743
F 1.6379 0.7840 0.5477
F 4.3499 6.6418 4.6395
F 3.5791 2.6746 1.8683
```

Computed properties:
Size of the total moment in μB per formula unit: 2.03
Space group: No. 12
Polymorph energy (0 for the lowest one) in eV per formula unit: 0.00

***

Record 14
First-principles (PBE-GGA) data for a relaxed MgFeNiGe crystal, as listed in the Alexandria database.

```
4
Lattice="4.1465 0.0000 0.0000 2.0733 3.5910 0.0000 2.0733 1.1970 3.3856" Properties=species:S:1:pos:R:3 pbc="T T T"
Mg 4.1465 2.3940 1.6928
Ni 2.0733 1.1970 0.8464
Ge 0.0000 0.0000 0.0000
Fe 6.2198 3.5910 2.5392
```

Computed properties:
Size of the total moment in μB per formula unit: 0.27
Space group: No. 216
Formation energy from the elements in meV per atom: -79

***

Record 15
First-principles (PBE-GGA) data for a relaxed Mg2TaMo crystal, as listed in the Alexandria database.

```
4
Lattice="5.5661 0.0107 0.0105 2.3769 5.0331 -0.0105 -3.3079 -3.5670 2.7049" Properties=species:S:1:pos:R:3 pbc="T T T"
Mg 0.0091 0.0058 0.0000
Mg 3.0320 -0.5698 1.3577
Mo 3.8447 2.4414 0.0000
Ta 1.7208 2.1214 1.3472
```

Computed properties:
Size of the total moment in μB per formula unit: 0.00
Space group: No. 44
Polymorph energy (0 for the lowest one) in eV per formula unit: 0.73
Formation energy from the elements in meV per atom: 331

***

Record 16
First-principles (PBE-GGA) data for a relaxed AcGdIrPd crystal, as listed in the Alexandria database.

```
4
Lattice="-4.8313 0.6042 1.6082 -2.6418 -4.0303 1.7522 -1.1047 -0.3667 4.9938" Properties=species:S:1:pos:R:3 pbc="T T T"
Gd -6.4333 -2.8446 6.2657
Ac -2.1444 -0.9482 2.0886
Ir 0.0000 0.0000 0.0000
Pd -4.2889 -1.8964 4.1771
```

Computed properties:
Size of the total moment in μB per formula unit: 7.00
Space group: No. 216
Formation energy from the elements in meV per atom: -679

***

Record 17
First-principles (PBE-GGA) data for a relaxed LiFe2Ru2 crystal, as listed in the Alexandria database.

```
10
Lattice="7.2637 0.0000 0.0000 0.0000 7.2637 0.0000 0.0000 0.0000 2.5852" Properties=species:S:1:pos:R:3 pbc="T T T"
Ru 2.6920 6.3239 0.0000
Ru 6.3239 4.5717 0.0000
Ru 4.5717 0.9398 0.0000
Ru 0.9398 2.6920 0.0000
Fe 1.2028 4.8347 1.2926
Fe 4.8347 6.0609 1.2926
Fe 6.0609 2.4291 1.2926
Fe 2.4291 1.2028 1.2926
Li 0.0000 0.0000 0.0000
Li 3.6319 3.6319 0.0000
```

Computed properties:
Size of the total moment in μB per formula unit: 2.37
Space group: No. 127
Polymorph energy (0 for the lowest one) in eV per formula unit: 0.19
Formation energy from the elements in meV per atom: 269

***

Record 18
First-principles (PBE-GGA) data for a relaxed LiMnSe2N crystal, as listed in the Alexandria database.

```
5
Lattice="4.7719 0.0000 0.0000 0.0000 4.7719 0.0000 0.0000 0.0000 3.5504" Properties=species:S:1:pos:R:3 pbc="T T T"
Mn 2.3860 2.3860 1.7752
Li 0.0000 0.0000 0.0000
Se 0.0000 2.3860 0.0000
Se 2.3860 0.0000 0.0000
N 0.0000 0.0000 1.7752
```

Computed properties:
Size of the total moment in μB per formula unit: 4.75
Space group: No. 123
Polymorph energy (0 for the lowest one) in eV per formula unit: 4.74
ΔE_f (raw) in kJ/mol of formula units: 394.2